CuHgO, relaxed, DFT GGA-PBE; polymorph energy (0 for the lowest one) = 10.2 kJ/mol of atoms; crystal system = monoclinic; formation energy from raw total energies = -0.16 eV per atom; calculated volume = 15.1 Å³/atom; raw total energy = -3.28 eV/atom
1.0
3.155 0.000 0.000
0.000 5.456 -0.840
-1.578 -1.886 5.546
Hg Cu O
2 2 2
direct
0.401 0.117 0.802
0.599 0.883 0.198
0.859 0.687 0.718
0.141 0.313 0.282
0.340 0.446 0.680
0.660 0.554 0.320